[1]
Rb2HfSi2 | PBE-GGA | relaxed

Output
energy relative to the lowest polymorph listed for this composition = 0.00 eV/f.u.
crystal system = tetragonal
ΔE_f (raw) = 1137 meV/atom

Lattice parameters (Å, degrees): 9.857 9.857 2.980 90.00 90.00 90.00
Positions (direct):
Rb 0.114 0.386 0.000
Rb 0.386 0.886 0.000
Rb 0.614 0.114 0.000
Rb 0.886 0.614 0.000
Hf 0.000 0.000 0.000
Hf 0.500 0.500 0.000
Si 0.183 0.683 0.500
Si 0.317 0.183 0.500
Si 0.683 0.817 0.500
Si 0.817 0.317 0.500

[2]
ReMo2Cl | PBE-GGA | relaxed

Output
energy relative to the lowest polymorph listed for this composition = 2.64 eV/f.u.
crystal system = cubic
ΔE_f (raw) = 900 meV/atom

Lattice parameters (Å, degrees): 6.307 6.307 6.307 90.00 90.00 90.00
Positions (direct):
Re 0.000 0.000 0.000
Re 0.000 0.500 0.500
Re 0.500 0.000 0.500
Re 0.500 0.500 0.000
Mo 0.250 0.250 0.250
Mo 0.250 0.250 0.750
Mo 0.250 0.750 0.250
Mo 0.250 0.750 0.750
Mo 0.750 0.250 0.250
Mo 0.750 0.250 0.750
Mo 0.750 0.750 0.250
Mo 0.750 0.750 0.750
Cl 0.000 0.000 0.500
Cl 0.000 0.500 0.000
Cl 0.500 0.000 0.000
Cl 0.500 0.500 0.500

[3]
MgWI2N | PBE-GGA | relaxed

Output
energy relative to the lowest polymorph listed for this composition = 5.94 eV/f.u.
crystal system = tetragonal
ΔE_f (raw) = 1459 meV/atom

Lattice parameters (Å, degrees): 5.637 5.637 3.807 90.00 90.00 90.00
Positions (direct):
Mg 0.000 0.000 0.000
W 0.500 0.500 0.500
I 0.000 0.500 0.000
I 0.500 0.000 0.000
N 0.000 0.000 0.500

[4]
TaReSi | PBE-GGA | relaxed

Output
crystal system = orthorhombic
ΔE_f (raw) = -502 meV/atom

Lattice parameters (Å, degrees): 7.555 7.555 7.555 124.80 79.86 127.26
Positions (direct):
Ta 0.004 0.250 0.254
Ta 0.407 0.371 0.536
Ta 0.422 0.867 0.055
Ta 0.812 0.367 0.945
Ta 0.834 0.871 0.464
Ta 0.996 0.750 0.746
Re 0.158 0.319 0.907
Re 0.158 0.751 0.339
Re 0.412 0.251 0.093
Re 0.412 0.819 0.661
Re 0.663 0.163 0.500
Re 0.663 0.663 0.000
Si 0.082 0.418 0.672
Si 0.082 0.910 0.163
Si 0.373 0.149 0.724
Si 0.425 0.649 0.276
Si 0.746 0.410 0.328
Si 0.746 0.918 0.837

[5]
K2GaAgBi | PBE-GGA | relaxed

Output
E_form = 1.42 eV per formula unit
crystal system = tetragonal

Lattice parameters (Å, degrees): 6.785 6.785 5.385 90.00 90.00 90.00
Positions (direct):
K 0.000 0.500 0.000
K 0.500 0.000 0.000
Ga 0.000 0.000 0.500
Ag 0.500 0.500 0.500
Bi 0.500 0.500 0.000

[6]
ErTm2PuSb4 | PBE-GGA | relaxed

Output
crystal system = monoclinic
ΔE_f (raw) = -948 meV/atom

Lattice parameters (Å, degrees): 7.552 4.371 7.555 90.00 109.45 90.00
Positions (direct):
Er 0.000 0.000 0.000
Tm 0.500 0.000 0.500
Tm 0.500 0.500 0.000
Pu 0.000 0.500 0.500
Sb 0.252 0.500 0.249
Sb 0.254 0.000 0.753
Sb 0.746 0.000 0.247
Sb 0.748 0.500 0.751

[7]
KHoHg2 | PBE-GGA | relaxed

Output
E_form = -0.67 eV per formula unit
energy relative to the lowest polymorph listed for this composition = 0.44 eV/f.u.
crystal system = trigonal

Lattice parameters (Å, degrees): 4.028 4.028 28.070 90.00 90.00 120.00
Positions (direct):
K 0.000 0.000 0.000
K 0.333 0.667 0.667
K 0.667 0.333 0.333
Ho 0.000 0.000 0.500
Ho 0.333 0.667 0.167
Ho 0.667 0.333 0.833
Hg 0.000 0.000 0.237
Hg 0.000 0.000 0.763
Hg 0.333 0.667 0.429
Hg 0.333 0.667 0.904
Hg 0.667 0.333 0.096
Hg 0.667 0.333 0.571

[8]
KMg4Mn | PBE-GGA | relaxed

Output
E_form = 2.35 eV per formula unit
crystal system = cubic

Lattice parameters (Å, degrees): 6.058 6.058 6.058 60.00 60.00 60.00
Positions (direct):
K 0.000 0.000 0.000
Mg 0.130 0.623 0.623
Mg 0.623 0.130 0.623
Mg 0.623 0.623 0.130
Mg 0.623 0.623 0.623
Mn 0.250 0.250 0.250

[9]
Tb2TaN | PBE-GGA | relaxed

Output
crystal system = trigonal
ΔE_f (raw) = -209 meV/atom

Lattice parameters (Å, degrees): 3.277 3.277 26.742 90.00 90.00 120.00
Positions (direct):
Tb 0.000 0.000 0.114
Tb 0.000 0.000 0.886
Tb 0.333 0.667 0.552
Tb 0.333 0.667 0.781
Tb 0.667 0.333 0.219
Tb 0.667 0.333 0.448
Ta 0.000 0.000 0.000
Ta 0.333 0.667 0.667
Ta 0.667 0.333 0.333
N 0.000 0.000 0.500
N 0.333 0.667 0.167
N 0.667 0.333 0.833

[10]
KCdMo2 | PBE-GGA | relaxed

Output
E_form = 5.22 eV per formula unit
crystal system = cubic

Lattice parameters (Å, degrees): 6.846 6.846 6.846 90.00 90.00 90.00
Positions (direct):
K 0.000 0.000 0.000
K 0.000 0.500 0.500
K 0.500 0.000 0.500
K 0.500 0.500 0.000
Cd 0.250 0.250 0.250
Cd 0.250 0.750 0.750
Cd 0.750 0.250 0.750
Cd 0.750 0.750 0.250
Mo 0.000 0.000 0.500
Mo 0.000 0.500 0.000
Mo 0.250 0.250 0.750
Mo 0.250 0.750 0.250
Mo 0.500 0.000 0.000
Mo 0.500 0.500 0.500
Mo 0.750 0.250 0.250
Mo 0.750 0.750 0.750

[11]
CaZn2Au | PBE-GGA | relaxed

Output
E_form = -1.38 eV per formula unit
crystal system = monoclinic

Lattice parameters (Å, degrees): 3.601 4.442 5.459 90.00 90.10 90.00
Positions (direct):
Ca 0.000 0.000 0.000
Zn 0.499 0.000 0.506
Zn 0.501 0.500 0.275
Au 0.500 0.500 0.777

[12]
DyErCdAg | PBE-GGA | relaxed

Output
E_form = -1.23 eV per formula unit
energy relative to the lowest polymorph listed for this composition = 0.04 eV/f.u.
crystal system = cubic

Lattice parameters (Å, degrees): 7.348 7.348 7.348 90.00 90.00 90.00
Positions (direct):
Dy 0.000 0.000 0.000
Dy 0.000 0.500 0.500
Dy 0.500 0.000 0.500
Dy 0.500 0.500 0.000
Er 0.000 0.000 0.500
Er 0.000 0.500 0.000
Er 0.500 0.000 0.000
Er 0.500 0.500 0.500
Cd 0.250 0.250 0.250
Cd 0.250 0.750 0.750
Cd 0.750 0.250 0.750
Cd 0.750 0.750 0.250
Ag 0.250 0.250 0.750
Ag 0.250 0.750 0.250
Ag 0.750 0.250 0.250
Ag 0.750 0.750 0.750

[13]
Li2Ti3HgO8 | PBE-GGA | relaxed

Output
crystal system = trigonal
ΔE_f (raw) = -2409 meV/atom

Lattice parameters (Å, degrees): 6.237 6.237 6.237 58.44 58.44 58.44
Positions (direct):
Li 0.000 0.000 0.000
Li 0.391 0.391 0.391
Ti 0.005 0.005 0.493
Ti 0.005 0.493 0.005
Ti 0.493 0.005 0.005
Hg 0.626 0.626 0.626
O 0.188 0.761 0.761
O 0.238 0.238 0.238
O 0.255 0.255 0.799
O 0.255 0.799 0.255
O 0.761 0.188 0.761
O 0.761 0.761 0.188
O 0.768 0.768 0.768
O 0.799 0.255 0.255

[14]
RbNaPb2 | PBE-GGA | relaxed

Output
E_form = -0.50 eV per formula unit
energy relative to the lowest polymorph listed for this composition = 0.00 eV/f.u.
crystal system = trigonal

Lattice parameters (Å, degrees): 5.279 5.279 19.691 90.00 90.00 120.00
Positions (direct):
Rb 0.000 0.000 0.000
Rb 0.333 0.667 0.667
Rb 0.667 0.333 0.333
Na 0.000 0.000 0.500
Na 0.333 0.667 0.167
Na 0.667 0.333 0.833
Pb 0.000 0.000 0.207
Pb 0.000 0.000 0.793
Pb 0.333 0.667 0.460
Pb 0.333 0.667 0.874
Pb 0.667 0.333 0.126
Pb 0.667 0.333 0.540

[15]
Er3ZrPa2N6 | PBE-GGA | relaxed

Output
crystal system = monoclinic
ΔE_f (raw) = -1714 meV/atom

Lattice parameters (Å, degrees): 5.934 5.934 5.937 99.48 99.48 120.06
Positions (direct):
Er 0.000 0.000 0.000
Er 0.336 0.664 0.000
Er 0.664 0.336 0.000
Zr 0.500 0.500 0.500
Pa 0.167 0.833 0.500
Pa 0.833 0.167 0.500
N 0.085 0.420 0.260
N 0.248 0.248 0.746
N 0.420 0.085 0.260
N 0.580 0.915 0.740
N 0.752 0.752 0.254
N 0.915 0.580 0.740

[16]
CoTe2As | PBE-GGA | relaxed

Output
crystal system = tetragonal
ΔE_f (raw) = 572 meV/atom

Lattice parameters (Å, degrees): 4.960 4.960 3.369 90.00 90.00 90.00
Positions (direct):
Co 0.000 0.000 0.000
Te 0.000 0.500 0.500
Te 0.500 0.000 0.500
As 0.500 0.500 0.000

[17]
Nb2Cr2Ag | PBE-GGA | relaxed

Output
E_form = 4.34 eV per formula unit
energy relative to the lowest polymorph listed for this composition = 2.65 eV/f.u.
crystal system = tetragonal

Lattice parameters (Å, degrees): 3.957 3.957 11.017 90.00 90.00 90.00
Positions (direct):
Nb 0.000 0.500 0.250
Nb 0.000 0.500 0.750
Nb 0.500 0.000 0.250
Nb 0.500 0.000 0.750
Cr 0.000 0.000 0.086
Cr 0.000 0.000 0.914
Cr 0.500 0.500 0.414
Cr 0.500 0.500 0.586
Ag 0.000 0.000 0.500
Ag 0.500 0.500 0.000

[18]
SrTb3Pt8 | PBE-GGA | relaxed

Output
E_form = -11.85 eV per formula unit
crystal system = trigonal

Lattice parameters (Å, degrees): 5.491 5.491 8.949 90.00 90.00 120.00
Positions (direct):
Sr 0.000 0.000 0.000
Tb 0.000 0.000 0.369
Tb 0.667 0.333 0.502
Tb 0.667 0.333 0.871
Pt 0.165 0.329 0.682
Pt 0.165 0.835 0.682
Pt 0.333 0.667 0.436
Pt 0.333 0.667 0.936
Pt 0.503 0.005 0.191
Pt 0.503 0.497 0.191
Pt 0.671 0.835 0.682
Pt 0.995 0.497 0.191

[19]
RbSrTeI2 | PBE-GGA | relaxed

Output
energy relative to the lowest polymorph listed for this composition = 0.00 eV/f.u.
crystal system = tetragonal
ΔE_f (raw) = -1149 meV/atom

Lattice parameters (Å, degrees): 6.459 6.459 6.449 90.00 90.00 90.00
Positions (direct):
Rb 0.000 0.000 0.000
Sr 0.500 0.500 0.500
Te 0.500 0.500 0.000
I 0.000 0.500 0.500
I 0.500 0.000 0.500

[20]
Ac2NbAu | PBE-GGA | relaxed

Output
E_form = 2.40 eV per formula unit
crystal system = trigonal

Lattice parameters (Å, degrees): 3.546 3.546 33.646 90.00 90.00 120.00
Positions (direct):
Ac 0.000 0.000 0.091
Ac 0.000 0.000 0.909
Ac 0.333 0.667 0.575
Ac 0.333 0.667 0.758
Ac 0.667 0.333 0.242
Ac 0.667 0.333 0.425
Nb 0.000 0.000 0.000
Nb 0.333 0.667 0.667
Nb 0.667 0.333 0.333
Au 0.000 0.000 0.500
Au 0.333 0.667 0.167
Au 0.667 0.333 0.833

For each record above, in turn, the calculated D(E_F) values are 0.6024, 1.8234, 1.3963, 0.4240, 0.5517, 2.0054, 0.7398, 0.7413, 1.2003, 0.7764, 0.2868, 0.9237, 0.0000, 0.2512, 0.4157, 1.2104, 0.9958, 0.5819, 1.0546, 1.2346 states/eV per atom.